Record 1
This record from the Alexandria database describes an optimized crystal structure of La3Ir2Rh7. The functional is GGA-PBE.

Results
- E_form (eV per formula unit) = -5.96
- M_tot (μB/atom) = 0.000
- symmetry = R-3m (166)

a = 5.371 Å, b = 5.371 Å, c = 9.452 Å
α = 73.49°, β = 73.49°, γ = 60.00°
Sites, in units of the cell vectors:
La 0.000 0.000 0.000
La 0.862 0.862 0.415
La 0.138 0.138 0.585
Rh 0.420 0.917 0.242
Rh 0.083 0.580 0.758
Rh 0.580 0.580 0.758
Rh 0.917 0.420 0.242
Rh 0.420 0.420 0.242
Rh 0.580 0.083 0.758
Rh 0.500 0.500 0.500
Ir 0.332 0.332 0.003
Ir 0.668 0.668 0.997

=====

Record 2
This record from the Alexandria database describes an optimized crystal structure of Rb2Cd2Cl5. The functional is GGA-PBE.

Results
- M_tot (μB/atom) = 0.000
- symmetry = P4/mmm (123)
- energy relative to the elements, uncorrected (eV per atom) = -1.33

a = 5.363 Å, b = 5.363 Å, c = 10.149 Å
α = 90.00°, β = 90.00°, γ = 90.00°
Sites, in units of the cell vectors:
Cd 0.500 0.500 0.237
Cd 0.500 0.500 0.763
Cl 0.500 0.500 0.500
Cl 0.500 0.000 0.790
Cl 0.000 0.500 0.210
Cl 0.000 0.500 0.790
Cl 0.500 0.000 0.210
Rb 0.000 0.000 0.000
Rb 0.000 0.000 0.500

=====

Record 3
This record from the Alexandria database describes an optimized crystal structure of LaYN3. The functional is GGA-PBE.

Results
- M_tot (μB/atom) = 0.001
- symmetry = Pm-3m (221)
- energy relative to the elements, uncorrected (eV per atom) = -0.09

a = 4.306 Å, b = 4.306 Å, c = 4.306 Å
α = 90.00°, β = 90.00°, γ = 90.00°
Sites, in units of the cell vectors:
N 0.000 0.000 0.500
N 0.000 0.500 0.000
N 0.500 0.000 0.000
La 0.500 0.500 0.500
Y 0.000 0.000 0.000

=====

Record 4
This record from the Alexandria database describes an optimized crystal structure of Er8SnSb5. The functional is GGA-PBE.

Results
- M_tot (μB/atom) = 0.000
- symmetry = I-4 (82)
- energy relative to the elements, uncorrected (eV per atom) = -0.91

a = 7.910 Å, b = 7.910 Å, c = 7.910 Å
α = 109.43°, β = 109.56°, γ = 109.43°
Sites, in units of the cell vectors:
Sb 0.749 0.625 0.624
Sb 0.376 0.125 0.001
Sb 0.876 0.875 0.251
Sb 0.500 0.000 0.500
Sb 0.999 0.375 0.124
Er 0.773 0.252 0.377
Er 0.124 0.750 0.020
Er 0.479 0.604 0.227
Er 0.270 0.250 0.374
Er 0.125 0.748 0.521
Er 0.623 0.396 0.875
Er 0.980 0.104 0.730
Er 0.626 0.896 0.876
Sn 0.250 0.500 0.750

=====

Record 5
This record from the Alexandria database describes an optimized crystal structure of Li2YPaTe4. The functional is GGA-PBE.

Results
- M_tot (μB/atom) = 0.229
- symmetry = P2/m (10)
- energy relative to the elements, uncorrected (eV per atom) = -1.06

a = 4.262 Å, b = 7.474 Å, c = 7.582 Å
α = 108.81°, β = 90.00°, γ = 90.00°
Sites, in units of the cell vectors:
Y 0.000 0.000 0.000
Te 0.000 0.757 0.263
Te 0.500 0.747 0.741
Te 0.500 0.253 0.259
Te 0.000 0.243 0.737
Li 0.000 0.500 0.500
Li 0.500 0.000 0.500
Pa 0.500 0.500 0.000

=====

Record 6
This record from the Alexandria database describes an optimized crystal structure of Pr5Ni2Sb. The functional is GGA-PBE.

Results
- M_tot (μB/atom) = 0.000
- symmetry = I4/mcm (140)
- energy relative to the elements, uncorrected (eV per atom) = -0.44

a = 8.049 Å, b = 8.049 Å, c = 8.869 Å
α = 116.99°, β = 116.99°, γ = 90.00°
Sites, in units of the cell vectors:
Pr 0.500 0.500 0.000
Pr 0.205 0.019 0.724
Pr 0.795 0.981 0.276
Pr 0.295 0.795 0.276
Pr 0.000 0.000 0.000
Pr 0.481 0.295 0.276
Pr 0.705 0.205 0.724
Pr 0.019 0.519 0.724
Pr 0.519 0.705 0.724
Pr 0.981 0.481 0.276
Ni 0.874 0.626 0.000
Ni 0.126 0.374 0.000
Ni 0.374 0.874 0.000
Ni 0.626 0.126 0.000
Sb 0.250 0.250 0.500
Sb 0.750 0.750 0.500

=====

Record 7
This record from the Alexandria database describes an optimized crystal structure of Ca2HoCd8. The functional is GGA-PBE.

Results
- E_form (eV per formula unit) = -2.45
- M_tot (μB/atom) = 0.000
- symmetry = P-1 (2)

a = 5.449 Å, b = 6.367 Å, c = 8.974 Å
α = 110.73°, β = 108.06°, γ = 88.53°
Sites, in units of the cell vectors:
Cd 0.295 0.792 0.598
Cd 0.746 0.489 0.000
Cd 0.113 0.900 0.250
Cd 0.254 0.511 0.000
Cd 0.887 0.100 0.750
Cd 0.705 0.208 0.402
Cd 0.140 0.359 0.257
Cd 0.860 0.641 0.743
Ca 0.314 0.304 0.624
Ca 0.686 0.696 0.376
Ho 0.500 0.000 0.000

=====

Record 8
This record from the Alexandria database describes an optimized crystal structure of Er2TmMgHg4. The functional is GGA-PBE.

Results
- E_form (eV per formula unit) = -3.71
- M_tot (μB/atom) = 0.000
- symmetry = R-3m (166)

a = 5.116 Å, b = 5.116 Å, c = 8.961 Å
α = 73.41°, β = 73.41°, γ = 60.00°
Sites, in units of the cell vectors:
Er 0.754 0.754 0.738
Er 0.246 0.246 0.262
Hg 0.875 0.875 0.374
Hg 0.373 0.373 0.880
Hg 0.627 0.627 0.120
Hg 0.125 0.125 0.626
Tm 0.000 0.000 0.000
Mg 0.500 0.500 0.500

=====

Record 9
This record from the Alexandria database describes an optimized crystal structure of CrTe2Ru. The functional is GGA-PBE.

Results
- M_tot (μB/atom) = 0.548
- symmetry = Pm (6)
- energy relative to the elements, uncorrected (eV per atom) = -0.05

a = 3.944 Å, b = 3.942 Å, c = 6.672 Å
α = 89.85°, β = 90.00°, γ = 90.00°
Sites, in units of the cell vectors:
Te 0.000 0.874 0.886
Te 0.500 0.376 0.364
Cr 0.000 0.375 0.625
Ru 0.500 0.875 0.625

=====

Record 10
This record from the Alexandria database describes an optimized crystal structure of ScAl2Tc. The functional is GGA-PBE.

Results
- E_form (eV per formula unit) = -0.15
- M_tot (μB/atom) = 0.001
- symmetry = R3m (160)

a = 9.018 Å, b = 9.018 Å, c = 9.018 Å
α = 19.31°, β = 19.31°, γ = 19.31°
Sites, in units of the cell vectors:
Tc 0.747 0.747 0.747
Al 0.007 0.007 0.007
Al 0.255 0.255 0.255
Sc 0.492 0.492 0.492

=====

Record 11
This record from the Alexandria database describes an optimized crystal structure of La15AlIn4. The functional is GGA-PBE.

Results
- E_form (eV per formula unit) = -5.55
- M_tot (μB/atom) = 0.000
- symmetry = P4/mmm (123)

a = 5.043 Å, b = 5.043 Å, c = 25.229 Å
α = 90.00°, β = 90.00°, γ = 90.00°
Sites, in units of the cell vectors:
In 0.000 0.000 0.601
In 0.000 0.000 0.198
In 0.000 0.000 0.802
In 0.000 0.000 0.399
La 0.500 0.500 0.803
La 0.500 0.000 0.096
La 0.500 0.000 0.500
La 0.000 0.500 0.298
La 0.500 0.500 0.399
La 0.500 0.500 0.601
La 0.000 0.500 0.096
La 0.000 0.500 0.702
La 0.500 0.000 0.904
La 0.500 0.500 0.000
La 0.000 0.500 0.500
La 0.000 0.500 0.904
La 0.500 0.000 0.702
La 0.500 0.000 0.298
La 0.500 0.500 0.197
Al 0.000 0.000 0.000

=====

Record 12
This record from the Alexandria database describes an optimized crystal structure of LiSeCl2. The functional is GGA-PBE.

Results
- M_tot (μB/atom) = 0.000
- symmetry = Amm2 (38)
- energy relative to the elements, uncorrected (eV per atom) = -0.63

a = 6.777 Å, b = 3.652 Å, c = 4.710 Å
α = 67.21°, β = 90.00°, γ = 90.00°
Sites, in units of the cell vectors:
Li 0.000 0.614 0.648
Cl 0.500 0.346 0.184
Cl 0.000 0.947 0.981
Se 0.500 0.593 0.686

=====

Question: Which value of M_tot does entry 7 give?
Answer: 0.000 μB/atom